(1)
# BaZnNi3 (PBE, optimized geometry)
# DOS at the Fermi energy: 21.1 states/eV per cell
# Formation energy: 0.04 eV/atom
# Offset from the most stable computed form: 0.000 eV per atom
data_BaZnNi3
_chemical_formula_sum 'Ba4 Zn4 Ni12'
_symmetry_space_group_name_H-M 'C 1 2/m 1'
_symmetry_Int_Tables_number 12
_symmetry_space_group_name_Hall '-C 2y'
_cell_length_a 13.109
_cell_length_b 3.839
_cell_length_c 7.161
_cell_angle_alpha 90.00
_cell_angle_beta 96.45
_cell_angle_gamma 90.00
loop_
_atom_site_label
_atom_site_type_symbol
_atom_site_fract_x
_atom_site_fract_y
_atom_site_fract_z
_atom_site_occupancy
Ba1 Ba 0.132 0.000 0.027 1
Zn1 Zn 0.016 0.500 0.330 1
Ni1 Ni 0.098 0.000 0.520 1
Ni2 Ni 0.172 0.500 0.688 1
Ni3 Ni 0.218 0.500 0.381 1

---

(2)
# Ba2ZnNi2 (PBE, optimized geometry)
# DOS at the Fermi energy: 8.1 states/eV per cell
# Formation energy: 0.12 eV/atom
data_Ba2ZnNi2
_chemical_formula_sum 'Ba4 Zn2 Ni4'
_symmetry_space_group_name_H-M 'I 4/m m m'
_symmetry_Int_Tables_number 139
_symmetry_space_group_name_Hall '-I 4 2'
_cell_length_a 6.058
_cell_length_b 6.058
_cell_length_c 7.409
_cell_angle_alpha 90.00
_cell_angle_beta 90.00
_cell_angle_gamma 90.00
loop_
_atom_site_label
_atom_site_type_symbol
_atom_site_fract_x
_atom_site_fract_y
_atom_site_fract_z
_atom_site_occupancy
Ba1 Ba 0.000 0.500 0.250 1
Zn1 Zn 0.000 0.000 0.000 1
Ni1 Ni 0.000 0.000 0.334 1

---

(3)
# BaZnNi3 (PBE, optimized geometry)
# DOS at the Fermi energy: 0.9 states/eV per cell
# Formation energy: 1.74 eV/atom
# Offset from the most stable computed form: 1.695 eV per atom
data_BaZnNi3
_chemical_formula_sum 'Ba1 Zn1 Ni3'
_symmetry_space_group_name_H-M 'P m -3 m'
_symmetry_Int_Tables_number 221
_symmetry_space_group_name_Hall '-P 4 2 3'
_cell_length_a 4.937
_cell_length_b 4.937
_cell_length_c 4.937
_cell_angle_alpha 90.00
_cell_angle_beta 90.00
_cell_angle_gamma 90.00
loop_
_atom_site_label
_atom_site_type_symbol
_atom_site_fract_x
_atom_site_fract_y
_atom_site_fract_z
_atom_site_occupancy
Ba1 Ba 0.000 0.000 0.000 1
Zn1 Zn 0.500 0.500 0.500 1
Ni1 Ni 0.000 0.000 0.500 1

---

(4)
# Ba2ZnNi2 (PBE, optimized geometry)
# DOS at the Fermi energy: 17.1 states/eV per cell
# Formation energy: -0.12 eV/atom
data_Ba2ZnNi2
_chemical_formula_sum 'Ba6 Zn3 Ni6'
_symmetry_space_group_name_H-M 'R -3 m'
_symmetry_Int_Tables_number 166
_symmetry_space_group_name_Hall '-R 3 2"'
_cell_length_a 4.2915
_cell_length_b 4.2915
_cell_length_c 28.7584
_cell_angle_alpha 90.00
_cell_angle_beta 90.00
_cell_angle_gamma 120.00
loop_
_atom_site_label
_atom_site_type_symbol
_atom_site_fract_x
_atom_site_fract_y
_atom_site_fract_z
_atom_site_occupancy
Ba1 Ba 0.0000 0.0000 0.0774 1
Zn1 Zn 0.0000 0.0000 0.5000 1
Ni1 Ni 0.0000 0.0000 0.1794 1

---

(5)
# Ba2Zn5Ni (PBE, optimized geometry)
# DOS at the Fermi energy: 11.1 states/eV per cell
# Formation energy: -0.10 eV/atom
data_Ba2Zn5Ni
_chemical_formula_sum 'Ba4 Zn10 Ni2'
_symmetry_space_group_name_H-M 'I 4 m m'
_symmetry_Int_Tables_number 107
_symmetry_space_group_name_Hall 'I 4 -2'
_cell_length_a 6.060
_cell_length_b 6.060
_cell_length_c 11.218
_cell_angle_alpha 90.00
_cell_angle_beta 90.00
_cell_angle_gamma 90.00
loop_
_atom_site_label
_atom_site_type_symbol
_atom_site_fract_x
_atom_site_fract_y
_atom_site_fract_z
_atom_site_occupancy
Ba1 Ba 0.000 0.500 0.000 1
Zn1 Zn 0.000 0.000 0.365 1
Zn2 Zn 0.236 0.236 0.747 1
Ni1 Ni 0.000 0.000 0.627 1

---

(6)
# BaZr2Ni (PBE, optimized geometry)
# DOS at the Fermi energy: 8.2 states/eV per cell
# Formation energy: 0.29 eV/atom
# Offset from the most stable computed form: 0.202 eV per atom
data_BaZr2Ni
_chemical_formula_sum 'Ba2 Zr4 Ni2'
_symmetry_space_group_name_H-M 'I m m 2'
_symmetry_Int_Tables_number 44
_symmetry_space_group_name_Hall 'I 2 -2'
_cell_length_a 3.528
_cell_length_b 3.574
_cell_length_c 17.563
_cell_angle_alpha 90.00
_cell_angle_beta 90.00
_cell_angle_gamma 90.00
loop_
_atom_site_label
_atom_site_type_symbol
_atom_site_fract_x
_atom_site_fract_y
_atom_site_fract_z
_atom_site_occupancy
Ba1 Ba 0.000 0.000 0.000 1
Zr1 Zr 0.000 0.000 0.671 1
Zr2 Zr 0.000 0.500 0.319 1
Ni1 Ni 0.000 0.500 0.779 1

---

(7)
# BaZr2Ni (PBE, optimized geometry)
# DOS at the Fermi energy: 5.7 states/eV per cell
# Formation energy: 0.63 eV/atom
# Offset from the most stable computed form: 0.539 eV per atom
data_BaZr2Ni
_chemical_formula_sum 'Ba1 Zr2 Ni1'
_symmetry_space_group_name_H-M 'P 4/m m m'
_symmetry_Int_Tables_number 123
_symmetry_space_group_name_Hall '-P 4 2'
_cell_length_a 4.243
_cell_length_b 4.243
_cell_length_c 5.429
_cell_angle_alpha 90.00
_cell_angle_beta 90.00
_cell_angle_gamma 90.00
loop_
_atom_site_label
_atom_site_type_symbol
_atom_site_fract_x
_atom_site_fract_y
_atom_site_fract_z
_atom_site_occupancy
Ba1 Ba 0.000 0.000 0.000 1
Zr1 Zr 0.000 0.500 0.500 1
Ni1 Ni 0.500 0.500 0.000 1

---

(8)
# Ba2ZrNi (PBE, optimized geometry)
# DOS at the Fermi energy: 11.5 states/eV per cell
# Formation energy: 0.81 eV/atom
# Offset from the most stable computed form: 0.642 eV per atom
data_Ba2ZrNi
_chemical_formula_sum 'Ba4 Zr2 Ni2'
_symmetry_space_group_name_H-M 'I -4 m 2'
_symmetry_Int_Tables_number 119
_symmetry_space_group_name_Hall 'I -4 -2'
_cell_length_a 4.669
_cell_length_b 4.669
_cell_length_c 11.286
_cell_angle_alpha 90.00
_cell_angle_beta 90.00
_cell_angle_gamma 90.00
loop_
_atom_site_label
_atom_site_type_symbol
_atom_site_fract_x
_atom_site_fract_y
_atom_site_fract_z
_atom_site_occupancy
Ba1 Ba 0.000 0.000 0.000 1
Ba2 Ba 0.000 0.500 0.250 1
Zr1 Zr 0.000 0.000 0.500 1
Ni1 Ni 0.000 0.500 0.750 1